DFT (GGA-PBE) results for a relaxed structure of Hf2CoPt2.

Geometry as POSCAR:
```
Hf2CoPt2
1.0
-0.641 -0.727 7.191
7.039 -1.701 0.455
0.767 3.281 0.400
Co Hf Pt
2 4 4
Direct
0.000 0.000 0.000
0.500 0.500 0.000
0.171 0.671 0.500
0.671 0.829 0.500
0.829 0.329 0.500
0.329 0.171 0.500
0.366 0.866 0.000
0.866 0.634 0.000
0.634 0.134 0.000
0.134 0.366 0.000
```

Results
* raw total energy: -84.56 eV per cell
* energy relative to the elements: -0.637 eV per atom
* total magnetic moment: 0.0 μB per formula unit